(1)
Computed, not measured: crystalline CdCoSi2 at its relaxed geometry at the GGA-PBEsol level of DFT.

## Properties
Energy relative to the elements, uncorrected   33 meV per atom
Fermi-level density of states   2.39 states/eV per cell
Symmetry   C2/m, No. 12
Energy   -20.30 eV per formula unit
Theoretical density   6.0 Mg/m³

Lattice parameters (Å, degrees): 3.981 3.981 5.093 98.82 98.82 52.44
Fractional coordinates of all 4 atoms:
Cd (0.000, 0.000, 0.000)
Co (0.500, 0.500, 0.500)
Si (0.208, 0.208, 0.638)
Si (0.792, 0.792, 0.362)


(2)
Computed, not measured: crystalline Cd2CoSi at its relaxed geometry at the GGA-PBEsol level of DFT.

## Properties
Energy relative to the elements, uncorrected   -122 meV per atom
Fermi-level density of states   1.82 states/eV per cell
Symmetry   Immm, No. 71
Energy   -16.36 eV per formula unit
Theoretical density   7.8 Mg/m³

Lattice parameters (Å, degrees): 7.085 7.085 7.085 158.14 149.74 37.64
Fractional coordinates of all 4 atoms:
Cd (0.177, 0.177, 0.000)
Cd (0.823, 0.823, 0.000)
Co (0.000, 0.500, 0.500)
Si (0.500, 0.000, 0.500)


(3)
Computed, not measured: crystalline CdCoSi2 at its relaxed geometry at the GGA-PBEsol level of DFT.

## Properties
Energy relative to the elements, uncorrected   -28 meV per atom
Fermi-level density of states   2.52 states/eV per cell
Symmetry   P4/mmm, No. 123
Energy   -20.54 eV per formula unit
Theoretical density   6.5 Mg/m³

Lattice parameters (Å, degrees): 2.753 2.753 7.623 90.00 90.00 90.00
Fractional coordinates of all 4 atoms:
Cd (0.000, 0.000, 0.000)
Co (0.000, 0.000, 0.500)
Si (0.500, 0.500, 0.316)
Si (0.500, 0.500, 0.684)


Question: Among the records above, which one has the highest theoretical density?
Answer: Cd2CoSi